(1)
Material: TlWS2Cl
Method: DFT, GGA-PBE
State: optimized geometry

Computed properties:
Its total moment is 3.8 μB/cell. The symmetry is P4/mmm. As for the energy above the most stable polymorph in this dataset: 1679.9 meV/atom.

Cell: 5.146 5.146 5.004 Å, 90.00 90.00 90.00°
Atoms (fractional coordinates):
1 Tl 0.000 0.000 0.000
2 W 0.500 0.500 0.500
3 S 0.000 0.500 0.000
4 S 0.500 0.000 0.000
5 Cl 0.000 0.000 0.500

(2)
Material: TlWS2Cl
Method: DFT, GGA-PBE
State: optimized geometry

Computed properties:
Its total moment is 0.1 μB/cell. The symmetry is P4/mmm. As for the energy above the most stable polymorph in this dataset: 0.0 meV/atom.

Cell: 4.711 4.711 5.102 Å, 90.00 90.00 90.00°
Atoms (fractional coordinates):
1 Tl 0.000 0.000 0.000
2 W 0.500 0.500 0.500
3 S 0.000 0.500 0.500
4 S 0.500 0.000 0.500
5 Cl 0.500 0.500 0.000

(3)
Material: YTlS2Cl
Method: DFT, GGA-PBE
State: optimized geometry

Computed properties:
Its total moment is 0.0 μB/cell. The symmetry is P4/mmm. As for the energy above the most stable polymorph in this dataset: 857.8 meV/atom.

Cell: 5.149 5.149 5.098 Å, 90.00 90.00 90.00°
Atoms (fractional coordinates):
1 Y 0.000 0.000 0.000
2 Tl 0.500 0.500 0.500
3 S 0.000 0.500 0.500
4 S 0.500 0.000 0.500
5 Cl 0.500 0.500 0.000

(4)
Material: YTlSCl2
Method: DFT, GGA-PBE
State: optimized geometry

Computed properties:
Its total moment is 1.0 μB/cell. The symmetry is P4/mmm. As for the energy above the most stable polymorph in this dataset: 1248.1 meV/atom.

Cell: 5.423 5.423 5.127 Å, 90.00 90.00 90.00°
Atoms (fractional coordinates):
1 Y 0.000 0.000 0.000
2 Tl 0.500 0.500 0.500
3 S 0.500 0.500 0.000
4 Cl 0.000 0.500 0.500
5 Cl 0.500 0.000 0.500